[1]
Hf3TcSb: optimized geometry, GGA-PBE.

Unit cell a=7.6470 b=7.6470 c=4.8911 alpha=90.00 beta=90.00 gamma=125.60
With the nearest neighbours (Å) after each atom.
Positions (direct):
Hf  0.0000  0.5000  0.5000  2 Tc 2.65
Hf  0.1392  0.8608  0.0000  2 Tc 2.49
Hf  0.3066  0.3066  0.5000  2 Tc 2.57, 1 Hf 2.70
Hf  0.5000  0.0000  0.5000  2 Tc 2.65
Hf  0.6934  0.6934  0.5000  2 Tc 2.57, 1 Hf 2.70
Hf  0.8608  0.1392  0.0000  2 Tc 2.49
Tc  0.1038  0.8962  0.5000  6 Hf 2.49-2.65
Tc  0.8962  0.1038  0.5000  6 Hf 2.49-2.65
Sb  0.3602  0.6398  0.0000  5 Hf 3.01-3.36
Sb  0.6398  0.3602  0.0000  5 Hf 3.01-3.36

Values from the calculation:
- Theoretical density: 10.8 g/cm³
- M_tot: 0.00 μB per formula unit
- Excess energy over the best structure of this formula in the dataset: 0 meV/atom
- Calculated volume: 233 Å³/cell
- Space-group type: Cmmm, No. 65
- Formation energy from raw total energies: 0.091 eV/atom

[2]
Na5B7C3: optimized geometry, GGA-PBE.

Unit cell a=8.5770 b=12.9301 c=12.9301 alpha=12.56 beta=90.00 gamma=90.00
With the nearest neighbours (Å) after each atom.
Positions (direct):
Na  0.2443  0.0000  0.0000  9 B 2.67-2.84, 3 C 2.70-2.78, 6 Na 2.83-2.96
Na  0.2470  0.1989  0.1989  8 B 2.64-2.77, 4 C 2.69-2.77, 6 Na 2.83-2.92
Na  0.2482  0.5999  0.5999  7 B 2.66-2.76, 5 C 2.69-2.71, 6 Na 2.83-2.93
Na  0.2492  0.3988  0.3988  10 B 2.65-2.95, 2 C 2.72, 6 Na 2.83-2.96
Na  0.2503  0.7982  0.7982  8 B 2.65-2.81, 4 C 2.68-2.82, 6 Na 2.83-2.95
Na  0.7497  0.7982  0.7982  8 B 2.65-2.81, 4 C 2.68-2.82, 6 Na 2.83-2.95
Na  0.7508  0.3988  0.3988  10 B 2.65-2.95, 2 C 2.72, 6 Na 2.83-2.96
Na  0.7518  0.5999  0.5999  7 B 2.66-2.76, 5 C 2.69-2.71, 6 Na 2.83-2.93
Na  0.7530  0.1989  0.1989  8 B 2.64-2.77, 4 C 2.69-2.77, 6 Na 2.83-2.92
Na  0.7557  0.0000  0.0000  9 B 2.67-2.84, 3 C 2.70-2.78, 6 Na 2.83-2.96
B  0.0000  0.1292  0.1292  1 C 1.62, 2 B 1.74
B  0.0000  0.3324  0.3324  3 C 1.62-1.64
B  0.0000  0.4657  0.4657  3 B 1.75-1.78
B  0.0000  0.5350  0.5350  2 C 1.63, 1 B 1.78
B  0.0000  0.6684  0.6684  3 B 1.74-1.78
B  0.0000  0.7379  0.7379  2 C 1.62, 1 B 1.78
B  0.0000  0.9257  0.9257  1 C 1.60, 2 B 1.75
B  0.5000  0.0698  0.0698  3 C 1.60-1.64
B  0.5000  0.2577  0.2577  2 C 1.62, 1 B 1.75
B  0.5000  0.3259  0.3259  3 B 1.75-1.80
B  0.5000  0.4776  0.4776  1 C 1.55
B  0.5000  0.6633  0.6633  3 C 1.63
B  0.5000  0.8689  0.8689  3 B 1.67-1.80
B  0.5000  0.9340  0.9340  3 B 1.67-1.80
C  0.0000  0.0663  0.0663  3 B 1.62-1.63
C  0.0000  0.2686  0.2686  3 B 1.62-1.64
C  0.0000  0.8634  0.8634  3 B 1.60-1.62
C  0.5000  0.1321  0.1321  3 B 1.60-1.63
C  0.5000  0.5377  0.5377  3 B 1.55-1.64
C  0.5000  0.7266  0.7266  3 B 1.62-1.63

Values from the calculation:
- Theoretical density: 2.4 g/cm³
- M_tot: 0.00 μB per formula unit
- Excess energy over the best structure of this formula in the dataset: 10 meV/atom
- Calculated volume: 312 Å³/cell
- Space-group type: Amm2, No. 38

[3]
YRe2Si2: optimized geometry, GGA-PBE.

Unit cell a=7.3147 b=7.3147 c=3.0005 alpha=90.00 beta=90.00 gamma=90.00
With the nearest neighbours (Å) after each atom.
Positions (direct):
Y  0.0000  0.0000  0.0000  4 Si 2.84, 2 Y 3.00, 8 Re 3.18
Y  0.5000  0.5000  0.0000  4 Si 2.84, 2 Y 3.00, 8 Re 3.18
Re  0.1466  0.3534  0.5000  6 Si 2.56-2.69
Re  0.3534  0.8534  0.5000  6 Si 2.56-2.69
Re  0.6466  0.1466  0.5000  6 Si 2.56-2.69
Re  0.8534  0.6466  0.5000  6 Si 2.56-2.69
Si  0.1373  0.6373  0.0000  6 Re 2.56-2.69, 2 Y 2.84, 1 Si 2.84
Si  0.3627  0.1373  0.0000  6 Re 2.56-2.69, 2 Y 2.84, 1 Si 2.84
Si  0.6373  0.8627  0.0000  6 Re 2.56-2.69, 2 Y 2.84, 1 Si 2.84
Si  0.8627  0.3627  0.0000  6 Re 2.56-2.69, 2 Y 2.84, 1 Si 2.84

Values from the calculation:
- Theoretical density: 10.7 g/cm³
- M_tot: 0.00 μB per formula unit
- Calculated volume: 161 Å³/cell
- Space-group type: P4/mbm, No. 127
- Formation energy from raw total energies: -0.195 eV/atom

[4]
Mg2Tl2Cd: optimized geometry, GGA-PBE.

Unit cell a=8.4003 b=8.4003 c=3.6520 alpha=90.00 beta=90.00 gamma=90.00
With the nearest neighbours (Å) after each atom.
Positions (direct):
Mg  0.1341  0.3659  0.0000  6 Tl 2.99-3.13, 1 Mg 3.19, 2 Cd 3.27
Mg  0.3659  0.8659  0.0000  6 Tl 2.99-3.13, 1 Mg 3.19, 2 Cd 3.27
Mg  0.6341  0.1341  0.0000  6 Tl 2.99-3.13, 1 Mg 3.19, 2 Cd 3.27
Mg  0.8659  0.6341  0.0000  6 Tl 2.99-3.13, 1 Mg 3.19, 2 Cd 3.27
Tl  0.1665  0.6665  0.5000  6 Mg 2.99-3.13
Tl  0.3335  0.1665  0.5000  6 Mg 2.99-3.13
Tl  0.6665  0.8335  0.5000  6 Mg 2.99-3.13
Tl  0.8335  0.3335  0.5000  6 Mg 2.99-3.13
Cd  0.0000  0.0000  0.0000  4 Mg 3.27, 8 Tl 3.62, 2 Cd 3.65
Cd  0.5000  0.5000  0.0000  4 Mg 3.27, 8 Tl 3.62, 2 Cd 3.65

Values from the calculation:
- Theoretical density: 7.3 g/cm³
- M_tot: 0.00 μB per formula unit
- Excess energy over the best structure of this formula in the dataset: 0 meV/atom
- Calculated volume: 258 Å³/cell
- Space-group type: P4/mbm, No. 127

[5]
AlCuN: optimized geometry, GGA-PBE.

Unit cell a=5.6163 b=5.6163 c=5.6163 alpha=147.38 beta=63.02 gamma=127.69
With the nearest neighbours (Å) after each atom.
Positions (direct):
Al  0.2296  0.0000  0.2296  3 N 1.86-1.92
Al  0.7704  0.0000  0.7704  3 N 1.86-1.92
Cu  0.3086  0.3086  0.0000  2 N 2.38, 2 Cu 2.42-2.53
Cu  0.8192  0.8192  0.0000  2 N 2.06
N  0.4325  0.6212  0.8113  3 Al 1.86-1.92, 1 Cu 2.06
N  0.8100  0.6212  0.1887  3 Al 1.86-1.92, 1 Cu 2.06

Values from the calculation:
- Theoretical density: 4.6 g/cm³
- M_tot: 0.00 μB per formula unit
- Excess energy over the best structure of this formula in the dataset: 45 meV/atom
- Calculated volume: 75 Å³/cell
- Space-group type: Imm2, No. 44
- Formation energy from raw total energies: -0.375 eV/atom

[6]
Si2RuPt: optimized geometry, GGA-PBE.

Unit cell a=4.4365 b=4.4365 c=4.4365 alpha=126.63 beta=126.48 gamma=78.97
With the nearest neighbours (Å) after each atom.
Positions (direct):
Si  0.2500  0.2500  0.0000  4 Ru 2.63, 4 Pt 2.63, 4 Si 2.82
Si  0.7500  0.7500  0.0000  4 Ru 2.63, 4 Pt 2.63, 4 Si 2.82
Ru  0.5000  0.0000  0.5000  8 Si 2.63, 4 Pt 2.82
Pt  0.0000  0.5000  0.5000  8 Si 2.63, 4 Ru 2.82

Values from the calculation:
- Theoretical density: 10.7 g/cm³
- M_tot: 0.00 μB per formula unit
- Calculated volume: 55 Å³/cell
- Space-group type: Immm, No. 71
- Formation energy from raw total energies: -0.315 eV/atom

[7]
FeTeHI2: optimized geometry, GGA-PBE.

Unit cell a=5.5794 b=5.5794 c=4.7336 alpha=90.00 beta=90.00 gamma=90.00
With the nearest neighbours (Å) after each atom.
Positions (direct):
Fe  0.0000  0.0000  0.0000  2 Te 2.37
Te  0.0000  0.0000  0.5000  2 Fe 2.37
H  0.5000  0.5000  0.5000  8 I 3.66, 4 Te 3.95
I  0.0000  0.5000  0.0000  2 Fe 2.79
I  0.5000  0.0000  0.0000  2 Fe 2.79

Values from the calculation:
- Theoretical density: 4.9 g/cm³
- M_tot: 1.07 μB per formula unit
- Excess energy over the best structure of this formula in the dataset: 0 meV/atom
- Calculated volume: 147 Å³/cell
- Space-group type: P4/mmm, No. 123

[8]
SmTmIn3: optimized geometry, GGA-PBE.

Unit cell a=7.5646 b=7.5646 c=7.5646 alpha=130.44 beta=113.37 gamma=87.40
With the nearest neighbours (Å) after each atom.
Positions (direct):
Sm  0.2636  0.0136  0.2500  1 In 3.23
Sm  0.7364  0.9864  0.7500  1 In 3.23
Tm  0.0000  0.5000  0.5000  6 In 2.94-3.20
Tm  0.5000  0.5000  0.0000  6 In 2.94-3.20
In  0.1873  0.0000  0.6873  5 In 3.11-3.17, 2 Tm 3.20
In  0.1873  0.5000  0.1873  5 In 3.11-3.17, 2 Tm 3.20
In  0.4408  0.6908  0.7500  2 Tm 2.94, 4 In 3.11, 1 Sm 3.23
In  0.5592  0.3092  0.2500  2 Tm 2.94, 4 In 3.11, 1 Sm 3.23
In  0.8127  0.0000  0.3127  5 In 3.11-3.17, 2 Tm 3.20
In  0.8127  0.5000  0.8127  5 In 3.11-3.17, 2 Tm 3.20

Values from the calculation:
- Theoretical density: 7.6 g/cm³
- M_tot: 0.00 μB per formula unit
- Calculated volume: 288 Å³/cell
- Uncorrected energy: -36.41 eV per cell
- Space-group type: Imma, No. 74